Record 1
Material: InOsBr
Method: DFT, GGA-PBE
State: optimized geometry

Computed properties:
* size of the total moment: 0.0 μB/f.u.
* energy relative to the elements, uncorrected: 1.001 eV per atom
* calculated density: 9.6 g/cm³
* Fermi-level density of states: 3.8 states/eV/f.u.

Unit cell a=6.423 b=6.423 c=6.423 alpha=90.00 beta=90.00 gamma=90.00
Space group F-43m (No. 216)
One atom of each set of equivalent atoms:
In1 0.000 0.000 0.000 [4 per cell]
Os1 0.250 0.250 0.250 [4 per cell]
Br1 0.000 0.000 0.500 [4 per cell]

=====

Record 2
Material: Sr2AlSi3Au4
Method: DFT, GGA-PBE
State: optimized geometry

Computed properties:
* size of the total moment: 0.0 μB/f.u.
* energy relative to the elements, uncorrected: -0.523 eV per atom
* calculated density: 8.7 g/cm³
* Fermi-level density of states: 4.3 states/eV/f.u.

Unit cell a=4.375 b=4.375 c=10.747 alpha=90.00 beta=90.00 gamma=90.00
Space group P-4m2 (No. 115)
One atom of each set of equivalent atoms:
Sr1 0.000 0.500 0.244 [2 per cell]
Al1 0.000 0.000 0.500 [1 per cell]
Si1 0.000 0.500 0.868 [2 per cell]
Si2 0.500 0.500 0.500 [1 per cell]
Au1 0.000 0.000 0.000 [1 per cell]
Au2 0.000 0.500 0.632 [2 per cell]
Au3 0.500 0.500 0.000 [1 per cell]

=====

Record 3
Material: SrGdIr
Method: DFT, GGA-PBE
State: optimized geometry

Computed properties:
* size of the total moment: 7.1 μB/f.u.
* formation enthalpy at 0 K: -0.35 eV/atom
* calculated density: 7.2 g/cm³
* Fermi-level density of states: 1.1 states/eV/f.u.

Unit cell a=4.1861 b=4.1861 c=6.6844 alpha=90.00 beta=90.00 gamma=120.00
Space group P3m1 (No. 156)
One atom of each set of equivalent atoms:
Sr1 0.0000 0.0000 0.0000 [1 per cell]
Gd1 0.6667 0.3333 0.5338 [1 per cell]
Ir1 0.3333 0.6667 0.7280 [1 per cell]

=====

Record 4
Material: BAsIr3
Method: DFT, GGA-PBE
State: optimized geometry

Computed properties:
* size of the total moment: 0.0 μB/f.u.
* formation enthalpy at 0 K: 2.01 eV/atom
* calculated density: 11.5 g/cm³
* Fermi-level density of states: 6.0 states/eV/f.u.

Unit cell a=4.570 b=4.570 c=4.570 alpha=90.00 beta=90.00 gamma=90.00
Space group Pm-3m (No. 221)
One atom of each set of equivalent atoms:
B1 0.000 0.000 0.000 [1 per cell]
As1 0.500 0.500 0.500 [1 per cell]
Ir1 0.000 0.500 0.500 [3 per cell]

=====

Record 5
Material: CaReCN2
Method: DFT, GGA-PBE
State: optimized geometry

Computed properties:
* size of the total moment: 2.9 μB/f.u.
* energy relative to the elements, uncorrected: 3.557 eV per atom
* calculated density: 4.2 g/cm³
* Fermi-level density of states: 2.8 states/eV/f.u.

Unit cell a=3.745 b=3.745 c=7.436 alpha=90.00 beta=90.00 gamma=90.00
Space group P4/mmm (No. 123)
One atom of each set of equivalent atoms:
Ca1 0.000 0.000 0.000 [1 per cell]
Re1 0.000 0.000 0.500 [1 per cell]
C1 0.500 0.500 0.500 [1 per cell]
N1 0.000 0.500 0.000 [2 per cell]

=====

Record 6
Material: Sc2AlSi2Ni5
Method: DFT, GGA-PBE
State: optimized geometry

Computed properties:
* size of the total moment: 0.0 μB/f.u.
* energy relative to the elements, uncorrected: -0.601 eV per atom
* calculated density: 5.7 g/cm³
* Fermi-level density of states: 6.2 states/eV/f.u.

Unit cell a=9.141 b=9.141 c=3.281 alpha=90.00 beta=90.00 gamma=90.00
Space group P4/mbm (No. 127)
One atom of each set of equivalent atoms:
Sc1 0.176 0.324 0.000 [4 per cell]
Al1 0.000 0.000 0.000 [2 per cell]
Si1 0.123 0.623 0.000 [4 per cell]
Ni1 0.000 0.500 0.500 [2 per cell]
Ni2 0.061 0.791 0.500 [8 per cell]